No. 1
A plane-wave DFT calculation with PBE-GGA was carried out for an optimized crystal structure of TlF.

The excess energy over the best structure of this formula in the dataset is 41.1 meV/atom. The formation energy from raw total energies comes out at -1.7152 eV per atom.

Cell and atoms, written as CIF:
```
data_TlF
_chemical_formula_sum 'Tl6 F6'
_cell_length_a 8.6995
_cell_length_b 8.6995
_cell_length_c 5.2528
_cell_angle_alpha 90.00
_cell_angle_beta 90.00
_cell_angle_gamma 120.00
_symmetry_space_group_name_H-M 'P 1'
_symmetry_Int_Tables_number 1
loop_
_symmetry_equiv_pos_as_xyz
'x,y,z'
loop_
_atom_site_label
_atom_site_type_symbol
_atom_site_fract_x
_atom_site_fract_y
_atom_site_fract_z
Tl1 Tl 0.0230 0.6830 0.2500
Tl2 Tl 0.3170 0.3400 0.2500
Tl3 Tl 0.3400 0.0230 0.7500
Tl4 Tl 0.6600 0.9770 0.2500
Tl5 Tl 0.6830 0.6600 0.7500
Tl6 Tl 0.9770 0.3170 0.7500
F1 F 0.0695 0.4274 0.2500
F2 F 0.3580 0.9305 0.2500
F3 F 0.4274 0.3580 0.7500
F4 F 0.5726 0.6420 0.2500
F5 F 0.6420 0.0695 0.7500
F6 F 0.9305 0.5726 0.7500
```

No. 2
A plane-wave DFT calculation with PBE-GGA was carried out for an optimized crystal structure of Si2AgSb.

The formation energy from raw total energies comes out at 0.5439 eV per atom.

Cell and atoms, written as CIF:
```
data_Si2AgSb
_chemical_formula_sum 'Si2 Ag1 Sb1'
_cell_length_a 5.6160
_cell_length_b 5.6160
_cell_length_c 5.6160
_cell_angle_alpha 137.68
_cell_angle_beta 137.68
_cell_angle_gamma 61.40
_symmetry_space_group_name_H-M 'P 1'
_symmetry_Int_Tables_number 1
loop_
_symmetry_equiv_pos_as_xyz
'x,y,z'
loop_
_atom_site_label
_atom_site_type_symbol
_atom_site_fract_x
_atom_site_fract_y
_atom_site_fract_z
Si1 Si 0.2500 0.7500 0.5000
Si2 Si 0.7500 0.2500 0.5000
Ag1 Ag 0.0000 0.0000 0.0000
Sb1 Sb 0.5000 0.5000 0.0000
```

No. 3
A plane-wave DFT calculation with PBE-GGA was carried out for an optimized crystal structure of Cd2CoH.

The excess energy over the best structure of this formula in the dataset is 180.6 meV/atom.

Cell and atoms, written as CIF:
```
data_Cd2CoH
_chemical_formula_sum 'Cd2 Co1 H1'
_cell_length_a 4.4331
_cell_length_b 4.4331
_cell_length_c 4.4331
_cell_angle_alpha 60.00
_cell_angle_beta 60.00
_cell_angle_gamma 60.00
_symmetry_space_group_name_H-M 'P 1'
_symmetry_Int_Tables_number 1
loop_
_symmetry_equiv_pos_as_xyz
'x,y,z'
loop_
_atom_site_label
_atom_site_type_symbol
_atom_site_fract_x
_atom_site_fract_y
_atom_site_fract_z
Cd1 Cd 0.2500 0.2500 0.2500
Cd2 Cd 0.7500 0.7500 0.7500
Co1 Co 0.0000 0.0000 0.0000
H1 H 0.5000 0.5000 0.5000
```

no.,spin magnetization (μB/atom)
1,0.00
2,0.00
3,0.34